## NiTe2Ru (PBE-GGA)

Data for NiTe2Ru after structural relaxation.

Properties
Polymorph energy (0 for the lowest one) (meV/atom): 162
VASP energy (eV/atom): -5.17
Uncorrected formation energy (kcal/mol of atoms): 3.7
SG: R-3m
Density (g/cm³): 9.1
Crystal system: trigonal

a b c (Å): 7.431 7.431 7.431
angles (deg): 27.21 27.21 27.21
Fractional positions:
Ni: 0.000 0.000 0.000
Te: 0.254 0.254 0.254
Te: 0.746 0.746 0.746
Ru: 0.500 0.500 0.500